Compound: Mn3GeF
Source: Alexandria via LeMat-Bulk
Functional: PBE with a Hubbard U
Structure: optimized geometry

a b c (Å): 4.4921 4.4921 4.4921
angles (deg): 90.00 90.00 90.00
Last column: nearest neighbours and their distance in Å.
Fractional positions:
Mn1 0.0000 0.0000 0.5000  2 F 2.25
Mn2 0.0000 0.5000 0.0000  2 F 2.25
Mn3 0.5000 0.0000 0.0000  2 F 2.25
Ge1 0.5000 0.5000 0.5000  12 Mn 3.18
F1 0.0000 0.0000 0.0000  6 Mn 2.25

Results
SG	Pm-3m, No. 221
crystal system	cubic
DFT total energy	-29.25	eV per cell
energy above the most stable polymorph in this dataset	0	meV/atom